# 1
A plane-wave DFT calculation with GGA-PBE was carried out for a relaxed structure of BePd3W.

ΔE_f = 1544 meV/atom
symmetry = No. 221

Cell lengths 4.804, 4.804, 4.804 Å; angles 90.00, 90.00, 90.00 degrees
Sites, in units of the cell vectors:
Pd (0.000, 0.000, 0.500)
Pd (0.500, 0.000, 0.000)
W (0.000, 0.000, 0.000)
Pd (0.000, 0.500, 0.000)
Be (0.500, 0.500, 0.500)

=====

# 2
A plane-wave DFT calculation with GGA-PBE was carried out for a relaxed structure of HfMg2Nb3N6.

formation energy from raw total energies = -1.18 eV/atom
symmetry = No. 12

Cell lengths 5.362, 5.362, 5.524 Å; angles 99.10, 99.10, 120.07 degrees
Sites, in units of the cell vectors:
Nb (0.819, 0.181, 0.500)
Mg (0.665, 0.335, 0.000)
N (0.585, 0.920, 0.759)
N (0.920, 0.585, 0.759)
Hf (0.000, 0.000, 0.000)
Nb (0.181, 0.819, 0.500)
Nb (0.500, 0.500, 0.500)
N (0.751, 0.751, 0.257)
N (0.249, 0.249, 0.743)
N (0.415, 0.080, 0.241)
N (0.080, 0.415, 0.241)
Mg (0.335, 0.665, 0.000)

=====

# 3
A plane-wave DFT calculation with GGA-PBE was carried out for a relaxed structure of Y5Ga2Te.

formation energy from raw total energies = -0.68 eV/atom
symmetry = No. 140

Cell lengths 8.123, 8.123, 8.644 Å; angles 118.03, 118.03, 90.00 degrees
Sites, in units of the cell vectors:
Te (0.750, 0.750, 0.500)
Ga (0.148, 0.352, 0.000)
Y (0.296, 0.796, 0.285)
Y (0.796, 0.989, 0.285)
Y (0.011, 0.511, 0.715)
Y (0.500, 0.500, 0.000)
Ga (0.852, 0.648, 0.000)
Y (0.989, 0.489, 0.285)
Ga (0.352, 0.852, 0.000)
Y (0.000, 0.000, 0.000)
Y (0.489, 0.296, 0.285)
Te (0.250, 0.250, 0.500)
Y (0.704, 0.204, 0.715)
Ga (0.648, 0.148, 0.000)
Y (0.511, 0.704, 0.715)
Y (0.204, 0.011, 0.715)

=====

# 4
A plane-wave DFT calculation with GGA-PBE was carried out for a relaxed structure of Ho2CuHRh6.

DFT total energy = -63.43 eV/cell
symmetry = No. 71

Cell lengths 6.069, 6.069, 6.077 Å; angles 59.93, 59.93, 89.96 degrees
Sites, in units of the cell vectors:
Rh (0.725, 0.725, 0.000)
H (0.500, 0.500, 0.000)
Rh (0.276, 0.725, 0.000)
Rh (0.724, 0.275, 0.000)
Rh (0.275, 0.275, 0.000)
Ho (0.750, 0.250, 0.500)
Rh (0.275, 0.275, 0.449)
Rh (0.725, 0.725, 0.551)
Ho (0.250, 0.750, 0.500)
Cu (0.000, 0.000, 0.000)

=====

# 5
A plane-wave DFT calculation with GGA-PBE was carried out for a relaxed structure of Be2SnAu2.

ΔE_f = 89 meV/atom
symmetry = No. 127

Cell lengths 7.424, 7.424, 2.892 Å; angles 90.00, 90.00, 90.00 degrees
Sites, in units of the cell vectors:
Be (0.150, 0.650, 0.500)
Au (0.142, 0.358, 0.000)
Be (0.650, 0.850, 0.500)
Au (0.642, 0.142, 0.000)
Be (0.850, 0.350, 0.500)
Sn (0.500, 0.500, 0.000)
Au (0.858, 0.642, 0.000)
Au (0.358, 0.858, 0.000)
Be (0.350, 0.150, 0.500)
Sn (0.000, 0.000, 0.000)

=====

# 6
A plane-wave DFT calculation with GGA-PBE was carried out for a relaxed structure of LaCu12Ni6.

ΔE_f = 182 meV/atom
symmetry = No. 166

Cell lengths 6.646, 6.646, 6.646 Å; angles 104.00, 104.00, 104.00 degrees
Sites, in units of the cell vectors:
Cu (0.888, 0.610, 0.610)
Cu (0.500, 0.887, 0.113)
Ni (0.710, 0.710, 0.309)
Cu (0.610, 0.888, 0.610)
Ni (0.290, 0.691, 0.290)
Ni (0.309, 0.710, 0.710)
La (0.000, 0.000, 0.000)
Cu (0.112, 0.390, 0.390)
Cu (0.113, 0.887, 0.500)
Cu (0.610, 0.610, 0.888)
Cu (0.887, 0.113, 0.500)
Ni (0.691, 0.290, 0.290)
Cu (0.390, 0.112, 0.390)
Cu (0.390, 0.390, 0.112)
Cu (0.887, 0.500, 0.113)
Ni (0.290, 0.290, 0.691)
Ni (0.710, 0.309, 0.710)
Cu (0.113, 0.500, 0.887)
Cu (0.500, 0.113, 0.887)

=====

# 7
A plane-wave DFT calculation with GGA-PBE was carried out for a relaxed structure of Pa2GaOs.

ΔE_f = -217 meV/atom
symmetry = No. 123

Cell lengths 3.708, 3.708, 6.082 Å; angles 90.00, 90.00, 90.00 degrees
Sites, in units of the cell vectors:
Ga (0.500, 0.500, 0.500)
Pa (0.000, 0.000, 0.756)
Os (0.500, 0.500, 0.000)
Pa (0.000, 0.000, 0.244)

=====

# 8
A plane-wave DFT calculation with GGA-PBE was carried out for a relaxed structure of Co2TcPb.

ΔE_f = 534 meV/atom
symmetry = No. 6

Cell lengths 4.088, 2.877, 5.215 Å; angles 73.86, 90.00, 90.00 degrees
Sites, in units of the cell vectors:
Tc (0.500, 0.778, 0.823)
Co (0.000, 0.202, 0.971)
Co (0.500, 0.061, 0.254)
Pb (0.000, 0.460, 0.453)

=====

# 9
A plane-wave DFT calculation with GGA-PBE was carried out for a relaxed structure of ZrHgIO6.

formation energy from raw total energies = -1.15 eV/atom
symmetry = No. 163

Cell lengths 5.539, 5.539, 9.895 Å; angles 90.00, 90.00, 120.00 degrees
Sites, in units of the cell vectors:
Hg (0.000, 0.000, 0.000)
O (0.621, 0.982, 0.862)
O (0.362, 0.982, 0.638)
O (0.379, 0.018, 0.138)
O (0.638, 0.018, 0.362)
O (0.379, 0.362, 0.362)
Zr (0.667, 0.333, 0.750)
I (0.333, 0.667, 0.750)
Zr (0.333, 0.667, 0.250)
O (0.982, 0.362, 0.138)
O (0.621, 0.638, 0.638)
O (0.362, 0.379, 0.862)
I (0.667, 0.333, 0.250)
O (0.638, 0.621, 0.138)
Hg (0.000, 0.000, 0.500)
O (0.018, 0.379, 0.638)
O (0.982, 0.621, 0.362)
O (0.018, 0.638, 0.862)

=====

# 10
A plane-wave DFT calculation with GGA-PBE was carried out for a relaxed structure of Li3Np3CuS8.

formation energy from raw total energies = -1.13 eV/atom
symmetry = No. 12

Cell lengths 7.648, 7.639, 7.561 Å; angles 120.34, 90.00, 120.04 degrees
Sites, in units of the cell vectors:
Np (0.000, 0.500, 0.500)
Li (0.500, 0.500, 0.000)
Li (0.000, 0.000, 0.000)
S (0.753, 0.996, 0.738)
S (0.757, 0.004, 0.262)
Np (0.500, 0.000, 0.500)
Np (0.500, 0.500, 0.500)
S (0.247, 0.004, 0.262)
Cu (0.000, 0.000, 0.500)
S (0.753, 0.506, 0.758)
S (0.247, 0.494, 0.242)
S (0.759, 0.517, 0.263)
S (0.241, 0.483, 0.737)
Li (0.000, 0.500, 0.000)
S (0.243, 0.996, 0.738)

=====

# 11
A plane-wave DFT calculation with GGA-PBE was carried out for a relaxed structure of AcNpAl2O8.

formation energy from raw total energies = -2.82 eV/atom
symmetry = No. 12

Cell lengths 4.862, 4.868, 7.563 Å; angles 89.93, 89.93, 76.46 degrees
Sites, in units of the cell vectors:
O (0.234, 0.764, 0.779)
Al (0.500, 0.500, 0.679)
O (0.765, 0.235, 0.779)
O (0.236, 0.235, 0.999)
Al (0.500, 0.500, 0.321)
O (0.662, 0.663, 0.500)
O (0.338, 0.337, 0.500)
Np (0.000, 0.000, 0.000)
Ac (0.000, 0.000, 0.500)
O (0.766, 0.236, 0.221)
O (0.235, 0.765, 0.221)
O (0.764, 0.765, 0.001)

=====

# 12
A plane-wave DFT calculation with GGA-PBE was carried out for a relaxed structure of CeNd3Dy6Er2.

ΔE_f = 35 meV/atom
symmetry = No. 12

Cell lengths 6.190, 6.190, 11.820 Å; angles 95.01, 95.01, 119.99 degrees
Sites, in units of the cell vectors:
Nd (0.832, 0.168, 0.500)
Dy (0.413, 0.082, 0.246)
Er (0.667, 0.333, 0.000)
Nd (0.168, 0.832, 0.500)
Dy (0.082, 0.413, 0.246)
Dy (0.918, 0.587, 0.754)
Er (0.333, 0.667, 0.000)
Dy (0.587, 0.918, 0.754)
Ce (0.000, 0.000, 0.000)
Nd (0.500, 0.500, 0.500)
Dy (0.751, 0.751, 0.246)
Dy (0.249, 0.249, 0.754)

=====

| no. | total magnetization (μB/f.u.) |
| --- | --- |
| 1 | 0.0 |
| 2 | 0.0 |
| 3 | 0.0 |
| 4 | 0.0 |
| 5 | 0.0 |
| 6 | 0.0 |
| 7 | 0.0 |
| 8 | 0.5 |
| 9 | 0.0 |
| 10 | 9.0 |
| 11 | 0.0 |
| 12 | 1.2 |